HoEr2Cd3Cu2Ag: optimized geometry, PBE-GGA.

Output
Density, g cm⁻³: 9.19
Formation enthalpy at 0 K, meV per atom: -301

a b c (Å): 3.841 13.216 7.630
angles (deg): 90.00 90.00 90.00
Space group Amm2 (No. 38)
Symmetry-distinct sites (fractional):
Ho  0.000  0.000  0.000 x2
Er  0.000  0.205  0.615 x4
Cd  0.500  0.000  0.679 x2
Cd  0.500  0.135  0.276 x4
Cu  0.500  0.167  0.910 x4
Ag  0.000  0.000  0.410 x2



HfMgZrFe: optimized geometry, PBE-GGA.

Output
Density, g cm⁻³: 8.11
Electronic total energy, eV/atom: -6.790

a b c (Å): 6.594 6.594 6.594
angles (deg): 90.00 90.00 90.00
Space group F-43m (No. 216)
Symmetry-distinct sites (fractional):
Hf  0.000  0.000  0.000 x4
Mg  0.000  0.000  0.500 x4
Zr  0.250  0.250  0.250 x4
Fe  0.250  0.250  0.750 x4



PrH: optimized geometry, PBE-GGA.

Output
Density, g cm⁻³: 5.80
Electronic total energy, eV/atom: -4.381

a b c (Å): 5.459 5.459 5.459
angles (deg): 90.00 90.00 90.00
Space group F-43m (No. 216)
Symmetry-distinct sites (fractional):
Pr  0.000  0.000  0.000 x4
H  0.250  0.250  0.250 x4